VASP calculation (PBE-GGA) on a geometry-optimized Mn2N structure.

Calculated values
N(E_F) in states/eV per atom: 0.747
Magnetic moment in μB per cell: 16.51
Raw total energy in eV per cell: -109.984
V in A^3/atom: 9.8

```
Mn2N
1.0
4.3951 0.0000 0.0000
0.0000 4.8310 0.0000
0.0000 0.0000 5.5595
N Mn
4 8
Cartesian
0.0000 3.6233 2.0365
2.1976 1.2078 0.7432
2.1976 3.6233 4.8163
0.0000 1.2078 3.5230
3.2974 4.4298 0.6720
1.0998 2.8167 3.4518
3.2954 4.4298 3.4518
1.0978 2.8167 0.6720
3.2974 2.0143 4.8875
3.2954 2.0143 2.1078
1.0998 0.4012 2.1078
1.0978 0.4012 4.8875
```